## Cr2InAu (PBE-GGA)

Data for a geometry-optimized Cr2InAu structure.

a = 4.205 Å, b = 2.950 Å, c = 6.206 Å
α = 61.48°, β = 90.00°, γ = 90.00°
Element x y z (fractional)
In 0.500 0.250 0.250
Au 0.500 0.750 0.750
Cr 0.000 0.430 0.570
Cr 0.000 0.070 0.930

Computed properties:
V = 16.91 Å³ per atom
total DFT energy (no corrections) = -5.851 eV/atom
ρ = 10.21 g cm⁻³
calculated formation energy = 0.465 eV/atom
SG = P2/m (10)